[1]
Here is a relaxed structure of Si4MoRu5 from the Alexandria database. Energies are from PBE.

The calculation puts the theoretical density at 9.055 g cm⁻³. The calculation puts the final energy at -84.349 eV/cell. As for the formation energy from raw total energies: -5.45 eV per formula unit. As for the total magnetization: 0.00 μB/f.u.

The structure belongs to space group P4/mmm (No. 123); the cell edges are 2.913, 2.913 and 15.424 Å and the angles 90.00°, 90.00° and 90.00°. Symmetry generates all atoms from Si at (0.000, 0.000, 0.096), Si at (0.000, 0.000, 0.290), Mo at (0.000, 0.000, 0.500), Ru at (0.500, 0.500, 0.000), Ru at (0.500, 0.500, 0.190) and Ru at (0.500, 0.500, 0.379).

[2]
Here is a relaxed structure of Si2MoRu3 from the Alexandria database. Energies are from PBE.

The calculation puts the theoretical density at 9.430 g cm⁻³. The calculation puts the final energy at -52.298 eV/cell. As for the formation energy from raw total energies: -2.79 eV per formula unit. As for the total magnetization: 0.00 μB/f.u.

The structure belongs to space group P4/mmm (No. 123); the cell edges are 2.895, 2.895 and 9.569 Å and the angles 90.00°, 90.00° and 90.00°. Symmetry generates all atoms from Si at (0.000, 0.000, 0.158), Mo at (0.000, 0.000, 0.500), Ru at (0.500, 0.500, 0.000) and Ru at (0.500, 0.500, 0.304).

Which value of theoretical density does entry 2 give?
9.430 g cm⁻³

Repeat the second record exactly.
Here is a relaxed structure of Si2MoRu3 from the Alexandria database. Energies are from PBE.

The calculation puts the theoretical density at 9.430 g cm⁻³. The calculation puts the final energy at -52.298 eV/cell. As for the formation energy from raw total energies: -2.79 eV per formula unit. As for the total magnetization: 0.00 μB/f.u.

The structure belongs to space group P4/mmm (No. 123); the cell edges are 2.895, 2.895 and 9.569 Å and the angles 90.00°, 90.00° and 90.00°. Symmetry generates all atoms from Si at (0.000, 0.000, 0.158), Mo at (0.000, 0.000, 0.500), Ru at (0.500, 0.500, 0.000) and Ru at (0.500, 0.500, 0.304).

Look up the final energy of the second one.
-52.298 eV/cell

Among the records above, which one has the lowest final energy?
Si4MoRu5